Record 1
Computed, not measured: Dy2NiPb after structural relaxation at the GGA-PBE level of DFT.

abc: 3.8174 3.8174 28.2885
angles: 90.00 90.00 120.00
Space group R-3m (No. 166, hexagonal axes)
Asymmetric unit:
Dy  0.0000  0.0000  0.1132 x6
Ni  0.0000  0.0000  0.5000 x3
Pb  0.0000  0.0000  0.0000 x3

V   29.75 Å³ per atom
Total DFT energy (no corrections)   -57.40 eV/cell
Energy of formation   -0.11 eV/atom

=====

Record 2
Computed, not measured: Dy2NiPb after structural relaxation at the GGA-PBE level of DFT.

abc: 9.780 3.689 6.369
angles: 90.00 117.25 90.00
Space group Cm (No. 8)
Asymmetric unit:
Dy  0.000  0.000  0.000 x2
Dy  0.115  0.500  0.598 x2
Ni  0.337  0.000  0.643 x2
Pb  0.306  0.500  0.284 x2

V   25.53 Å³ per atom
Total DFT energy (no corrections)   -39.92 eV/cell
Energy of formation   -0.32 eV/atom

=====

Record 3
Computed, not measured: DyNiPb2 after structural relaxation at the GGA-PBE level of DFT.

abc: 3.5000 3.5000 30.1930
angles: 90.00 90.00 120.00
Space group R-3m (No. 166, hexagonal axes)
Asymmetric unit:
Dy  0.0000  0.0000  0.0000 x3
Ni  0.0000  0.0000  0.5000 x3
Pb  0.0000  0.0000  0.1054 x6

V   26.69 Å³ per atom
Total DFT energy (no corrections)   -51.08 eV/cell
Energy of formation   0.19 eV/atom

=====

Record 4
Computed, not measured: Dy4NiPb after structural relaxation at the GGA-PBE level of DFT.

abc: 8.733 12.832 6.167
angles: 90.00 108.08 90.00
Space group C2/c (No. 15)
Asymmetric unit:
Dy  0.109  0.162  0.049 x8
Dy  0.211  0.415  0.390 x8
Ni  0.000  0.000  0.250 x4
Pb  0.000  0.375  0.750 x4

V   27.37 Å³ per atom
Total DFT energy (no corrections)   -119.00 eV/cell
Energy of formation   -0.31 eV/atom
Distance to the lowest polymorph of the same formula   35 meV per atom

=====

Record 5
Computed, not measured: Dy3Ni2Pb3 after structural relaxation at the GGA-PBE level of DFT.

abc: 4.516 10.987 15.150
angles: 90.00 90.00 90.00
Space group Cmcm (No. 63)
Asymmetric unit:
Dy  0.000  0.074  0.111 x8
Dy  0.000  0.354  0.250 x4
Ni  0.000  0.197  0.612 x8
Pb  0.000  0.352  0.750 x4
Pb  0.000  0.364  0.035 x8

V   23.49 Å³ per atom
Total DFT energy (no corrections)   -159.57 eV/cell
Energy of formation   -0.42 eV/atom

=====

Record 6
Computed, not measured: Dy3Ni2Pb4 after structural relaxation at the GGA-PBE level of DFT.

abc: 11.364 4.527 9.430
angles: 90.00 109.87 90.00
Space group C2/m (No. 12)
Asymmetric unit:
Dy  0.000  0.000  0.000 x2
Dy  0.182  0.500  0.618 x4
Ni  0.129  0.500  0.315 x4
Pb  0.022  0.000  0.343 x4
Pb  0.215  0.500  0.092 x4

V   25.35 Å³ per atom
Total DFT energy (no corrections)   -84.96 eV/cell
Energy of formation   -0.25 eV/atom

=====

Record 7
Computed, not measured: Dy12Ni6Pb after structural relaxation at the GGA-PBE level of DFT.

abc: 9.731 9.731 9.731
angles: 90.00 90.00 90.00
Space group Im-3 (No. 204)
Asymmetric unit:
Dy  0.000  0.188  0.305 x24
Ni  0.000  0.377  0.500 x12
Pb  0.000  0.000  0.000 x2

V   24.25 Å³ per atom
Total DFT energy (no corrections)   -201.68 eV/cell
Energy of formation   -0.38 eV/atom

=====

Record 8
Computed, not measured: Dy7Ni2Pb2 after structural relaxation at the GGA-PBE level of DFT.

abc: 8.044 11.061 7.069
angles: 90.00 90.00 90.00
Space group Cmmm (No. 65)
Asymmetric unit:
Dy  0.000  0.000  0.000 x2
Dy  0.000  0.500  0.225 x4
Dy  0.250  0.250  0.239 x8
Ni  0.000  0.289  0.000 x4
Pb  0.188  0.000  0.500 x4

V   28.59 Å³ per atom
Total DFT energy (no corrections)   -107.53 eV/cell
Energy of formation   -0.23 eV/atom

=====

Record 9
Computed, not measured: Dy8Ni2Pb after structural relaxation at the GGA-PBE level of DFT.

abc: 8.619 13.318 5.365
angles: 90.00 103.89 90.00
Space group C2/m (No. 12)
Asymmetric unit:
Dy  0.000  0.249  0.000 x4
Dy  0.104  0.500  0.801 x4
Dy  0.206  0.129  0.577 x8
Ni  0.000  0.303  0.500 x4
Pb  0.000  0.000  0.000 x2

V   27.17 Å³ per atom
Total DFT energy (no corrections)   -108.35 eV/cell
Energy of formation   -0.19 eV/atom

=====

Record 10
Computed, not measured: DyNiPb after structural relaxation at the GGA-PBE level of DFT.

abc: 4.511 4.505 6.696
angles: 90.00 90.51 90.00
Space group P2_1/m (No. 11)
Asymmetric unit:
Dy  0.246  0.250  0.226 x2
Ni  0.258  0.750  0.500 x2
Pb  0.250  0.250  0.736 x2

V   22.68 Å³ per atom
Total DFT energy (no corrections)   -30.48 eV/cell
Energy of formation   -0.38 eV/atom

=====

Record 11
Computed, not measured: DyNiPb after structural relaxation at the GGA-PBE level of DFT.

abc: 4.5782 4.5782 3.6193
angles: 90.00 90.00 120.00
Space group P-6m2 (No. 187)
Asymmetric unit:
Dy  0.0000  0.0000  0.0000 x1
Ni  0.3333  0.6667  0.5000 x1
Pb  0.6667  0.3333  0.5000 x1

V   21.90 Å³ per atom
Total DFT energy (no corrections)   -15.15 eV/cell
Energy of formation   -0.35 eV/atom

=====

Record 12
Computed, not measured: Dy12Ni5Pb after structural relaxation at the GGA-PBE level of DFT.

abc: 9.382 9.593 9.919
angles: 90.00 90.00 90.00
Space group Immm (No. 71)
Asymmetric unit:
Dy  0.000  0.192  0.209 x8
Dy  0.193  0.500  0.179 x8
Dy  0.205  0.319  0.500 x8
Ni  0.000  0.000  0.000 x2
Ni  0.000  0.366  0.000 x4
Ni  0.000  0.500  0.376 x4
Pb  0.000  0.000  0.500 x2

V   24.80 Å³ per atom
Total DFT energy (no corrections)   -188.42 eV/cell
Energy of formation   -0.35 eV/atom